BeSiHgN2: optimized geometry, PBE.

a b c (Å): 3.4276 3.4276 6.5299
angles (deg): 90.00 90.00 90.00
Sites, in units of the cell vectors:
Be 0.0000 0.0000 0.0000
Si 0.0000 0.0000 0.5000
Hg 0.5000 0.5000 0.0000
N 0.0000 0.5000 0.5000
N 0.5000 0.0000 0.5000

## Properties
E_form (uncorrected)   0.7393 eV per atom